15
Lattice="3.7606 0.0000 0.0000 -1.8803 3.2568 0.0000 0.0000 0.0000 23.6116" Properties=species:S:1:pos:R:3 comment="PaH2Br2 | Alexandria via LeMat-Bulk | PBE-GGA | optimized geometry" total_energy_ev_per_cell=-72.9 pbc="T T T"
Pa 0.0000 0.0000 0.0000
Pa 0.0000 2.1712 15.7411
Pa 1.8803 1.0856 7.8705
H 0.0000 0.0000 8.2910
H 0.0000 0.0000 15.3205
H 0.0000 2.1712 0.4205
H 0.0000 2.1712 7.4500
H 1.8803 1.0856 16.1616
H 1.8803 1.0856 23.1910
Br 0.0000 0.0000 5.7075
Br 0.0000 0.0000 17.9041
Br 0.0000 2.1712 10.0336
Br 0.0000 2.1712 21.4485
Br 1.8803 1.0856 2.1631
Br 1.8803 1.0856 13.5780

12
Lattice="4.2552 0.0000 0.0000 0.0000 4.2552 0.0000 0.0000 0.0000 16.4372" Properties=species:S:1:pos:R:3 comment="ThMg2ZnAu2 | Alexandria via LeMat-Bulk | PBE-GGA | optimized geometry" ef_ev_per_fu=-0.551 pbc="T T T"
Th 0.0000 0.0000 0.0000
Th 2.1276 2.1276 8.2186
Mg 0.0000 2.1276 4.1093
Mg 0.0000 2.1276 12.3279
Mg 2.1276 0.0000 4.1093
Mg 2.1276 0.0000 12.3279
Zn 0.0000 0.0000 8.2186
Zn 2.1276 2.1276 0.0000
Au 0.0000 0.0000 5.7617
Au 0.0000 0.0000 10.6756
Au 2.1276 2.1276 2.4570
Au 2.1276 2.1276 13.9803

5
Lattice="4.8715 0.0000 0.0000 0.0000 4.8715 0.0000 0.0000 0.0000 6.4465" Properties=species:S:1:pos:R:3 comment="LaAl2HgTe | Alexandria via LeMat-Bulk | PBE-GGA | optimized geometry" raw_formation_energy_kcal_per_mol_atoms=-1.618 pbc="T T T"
La 0.0000 0.0000 0.0000
Al 0.0000 2.4358 3.2232
Al 2.4358 0.0000 3.2232
Hg 0.0000 0.0000 3.2232
Te 2.4358 2.4358 0.0000

5
Lattice="6.0343 0.0000 0.0000 0.0000 6.0343 0.0000 0.0000 0.0000 6.7599" Properties=species:S:1:pos:R:3 comment="KRbCa2Ag | Alexandria via LeMat-Bulk | PBE-GGA | optimized geometry" polymorph_energy_mev_per_atom=0.0 ef_ev_per_fu=0.274 pbc="T T T"
K 0.0000 0.0000 0.0000
Rb 3.0171 3.0171 0.0000
Ca 0.0000 3.0171 3.3800
Ca 3.0171 0.0000 3.3800
Ag 0.0000 0.0000 3.3800

5
Lattice="4.3221 0.0000 0.0000 0.0000 4.3221 0.0000 0.0000 0.0000 5.7475" Properties=species:S:1:pos:R:3 comment="CaTaIO2 | Alexandria via LeMat-Bulk | PBE-GGA | optimized geometry" polymorph_energy_mev_per_atom=1651.8 raw_formation_energy_kcal_per_mol_atoms=4.464 pbc="T T T"
Ca 0.0000 0.0000 0.0000
Ta 2.1610 2.1610 2.8737
I 0.0000 0.0000 2.8737
O 0.0000 2.1610 0.0000
O 2.1610 0.0000 0.0000

4
Lattice="4.1255 0.0000 0.0000 0.0000 4.1255 0.0000 0.0000 0.0000 8.2698" Properties=species:S:1:pos:R:3 comment="Ba2AlGa | Alexandria via LeMat-Bulk | PBE-GGA | optimized geometry" polymorph_energy_mev_per_atom=147.7 ef_ev_per_fu=-0.615 pbc="T T T"
Ba 0.0000 0.0000 2.0389
Ba 0.0000 0.0000 6.2309
Al 2.0627 2.0627 4.1349
Ga 2.0627 2.0627 0.0000

14
Lattice="2.0070 -6.8022 0.0000 2.0070 6.8022 0.0000 0.0000 0.0000 13.9125" Properties=species:S:1:pos:R:3 comment="YPu2Se4 | Alexandria via LeMat-Bulk | PBE-GGA | optimized geometry" raw_formation_energy_kcal_per_mol_atoms=-36.736 pbc="T T T"
Y 2.0070 5.1546 10.4344
Y 2.0070 -5.1546 3.4781
Pu 2.0070 1.8149 7.9127
Pu 2.0070 1.8149 12.9561
Pu 2.0070 -1.8149 0.9564
Pu 2.0070 -1.8149 5.9998
Se 0.0000 0.0000 0.0000
Se 0.0000 0.0000 6.9562
Se 2.0070 3.0182 1.7422
Se 2.0070 3.0182 5.2140
Se 2.0070 0.3971 10.4344
Se 2.0070 -0.3971 3.4781
Se 2.0070 -3.0182 8.6985
Se 2.0070 -3.0182 12.1703

8
Lattice="3.2435 0.0000 0.0000 0.0000 4.8562 0.0000 0.0000 0.0000 9.2076" Properties=species:S:1:pos:R:3 comment="AgHgMo2 | Alexandria via LeMat-Bulk | PBE-GGA | optimized geometry" ef_ev_per_fu=2.003 pbc="T T T"
Ag 0.0000 0.0000 0.0000
Ag 1.6218 2.4281 4.6038
Hg 0.0000 2.4281 2.1862
Hg 1.6218 0.0000 6.7900
Mo 0.0000 0.0000 4.2786
Mo 0.0000 2.4281 7.0640
Mo 1.6218 0.0000 2.4601
Mo 1.6218 2.4281 8.8825

16
Lattice="7.5947 0.0000 0.0000 0.0000 7.5947 0.0000 0.0000 0.0000 7.5947" Properties=species:S:1:pos:R:3 comment="Li2AcSc | Alexandria via LeMat-Bulk | PBE-GGA | optimized geometry" polymorph_energy_mev_per_atom=15.8 ef_ev_per_fu=0.832 pbc="T T T"
Li 1.8987 1.8987 1.8987
Li 1.8987 1.8987 5.6960
Li 1.8987 5.6960 1.8987
Li 1.8987 5.6960 5.6960
Li 5.6960 1.8987 1.8987
Li 5.6960 1.8987 5.6960
Li 5.6960 5.6960 1.8987
Li 5.6960 5.6960 5.6960
Ac 0.0000 0.0000 0.0000
Ac 0.0000 3.7973 3.7973
Ac 3.7973 0.0000 3.7973
Ac 3.7973 3.7973 0.0000
Sc 0.0000 0.0000 3.7973
Sc 0.0000 3.7973 0.0000
Sc 3.7973 0.0000 0.0000
Sc 3.7973 3.7973 3.7973

14
Lattice="7.2575 0.0000 0.0000 0.0000 6.7478 0.0000 -2.1015 0.0000 7.5539" Properties=species:S:1:pos:R:3 comment="Er4Te2C | Alexandria via LeMat-Bulk | PBE-GGA | optimized geometry" raw_formation_energy_kcal_per_mol_atoms=-16.051 pbc="T T T"
Er -0.5117 0.0122 1.8790
Er -0.5117 3.3618 1.8790
Er 1.5435 1.6870 4.4239
Er 2.5718 1.6870 0.8136
Er 2.5842 5.0609 6.7402
Er 3.6125 5.0609 3.1300
Er 5.6677 3.3861 5.6748
Er 5.6677 6.7357 5.6748
Te 0.6899 5.0609 4.2800
Te 1.7804 5.0609 0.4814
Te 3.3756 1.6870 7.0724
Te 4.4661 1.6870 3.2739
C 0.8723 1.6870 2.2870
C 4.2837 5.0609 5.2669

10
Lattice="7.9051 0.0000 0.0000 0.0000 7.9051 0.0000 0.0000 0.0000 3.1577" Properties=species:S:1:pos:R:3 comment="Cd2Cu2Pb | Alexandria via LeMat-Bulk | PBE-GGA | optimized geometry" polymorph_energy_mev_per_atom=2.7 ef_ev_per_fu=0.658 pbc="T T T"
Cd 1.3714 2.5812 0.0000
Cd 2.5812 6.5338 0.0000
Cd 5.3239 1.3714 0.0000
Cd 6.5338 5.3239 0.0000
Cu 0.9154 4.8680 1.5789
Cu 3.0371 0.9154 1.5789
Cu 4.8680 6.9897 1.5789
Cu 6.9897 3.0371 1.5789
Pb 0.0000 0.0000 1.5789
Pb 3.9526 3.9526 1.5789

11
Lattice="-2.3624 2.3624 14.8864 2.3624 -2.3624 14.8864 2.3624 2.3624 -14.8864" Properties=species:S:1:pos:R:3 comment="Tb2Dy3Tl6 | Alexandria via LeMat-Bulk | PBE-GGA | optimized geometry" ef_ev_per_fu=-0.292 pbc="T T T"
Tb 0.0000 0.0000 1.5881
Tb 0.0000 0.0000 28.1848
Dy 0.0000 0.0000 8.9076
Dy 0.0000 0.0000 14.8864
Dy 0.0000 0.0000 20.8652
Tl 2.3624 0.0000 3.5788
Tl 0.0000 0.0000 5.8482
Tl 2.3624 0.0000 11.3076
Tl 0.0000 2.3624 3.5788
Tl 0.0000 0.0000 23.9247
Tl 0.0000 2.3624 11.3076

Number 1: volume 289.2 Å³ per cell. Number 2: volume 297.6 Å³ per cell. Number 3: volume 153.0 Å³ per cell. Number 4: volume 246.1 Å³ per cell. Number 5: volume 107.4 Å³ per cell. Number 6: volume 140.7 Å³ per cell. Number 7: volume 379.9 Å³ per cell. Number 8: volume 145.0 Å³ per cell. Number 9: volume 438.1 Å³ per cell. Number 10: volume 369.9 Å³ per cell. Number 11: volume 197.3 Å³ per cell. Number 12: volume 332.3 Å³ per cell.